The following is a PBE with a Hubbard U calculation of crystalline CoTePbO at its relaxed geometry, from OQMD.

a = 6.349 Å, b = 4.143 Å, c = 13.966 Å
α = 90.00°, β = 90.00°, γ = 90.00°
Sites, in units of the cell vectors:
Co 0.105 0.250 0.210
Co 0.395 0.750 0.710
Co 0.605 0.250 0.290
Co 0.895 0.750 0.790
Te 0.245 0.250 0.608
Te 0.255 0.750 0.108
Te 0.745 0.250 0.892
Te 0.755 0.750 0.392
Pb 0.244 0.250 0.913
Pb 0.256 0.750 0.413
Pb 0.744 0.250 0.587
Pb 0.756 0.750 0.087
O 0.203 0.750 0.817
O 0.297 0.250 0.317
O 0.703 0.750 0.683
O 0.797 0.250 0.183

Values from the calculation:
SG: Pnma, No. 62
Offset from the most stable computed form, meV/atom: 0.0
Total magnetic moment, Bohr magnetons per cell: 12.01
Crystal system: orthorhombic